Here is Ac2Pr15Ho2 after structural relaxation from Alexandria via LeMat-Bulk. Energies are from PBE.

Cell: 11.6730 11.6730 18.2115 Å, 90.00 90.00 120.00°
Last column: nearest neighbours and their distance in Å.
Space group R-3m (No. 166, hexagonal axes)
One atom of each set of equivalent atoms:
Ac (0.0000, 0.0000, 0.1744)  15 Pr 4.16-4.44, 1 Ho 4.23
Pr (0.0000, 0.2919, 0.5000)  6 Pr 3.41-3.51, 2 Ho 3.81
Pr (0.0000, 0.5000, 0.0000)  8 Pr 3.47-3.51, 2 Ho 3.63
Pr (0.0123, 0.5061, 0.6386)  6 Pr 3.40-3.50
Ho (0.0000, 0.0000, 0.4067)  1 Ho 3.40, 3 Pr 3.63

Values from the calculation:
calculated formation energy	0.21	eV/atom
calculated volume	37.70	Å³ per atom

***

Here is Pm8Nd3Er4 after structural relaxation from Alexandria via LeMat-Bulk. Energies are from PBE.

Cell: 13.8264 12.2504 6.8859 Å, 90.00 118.22 90.00°
Last column: nearest neighbours and their distance in Å.
Space group C2/m (No. 12)
One atom of each set of equivalent atoms:
Pm (0.0000, 0.2051, 0.0000)  4 Pm 3.49-3.53, 2 Nd 3.50, 3 Er 3.58-3.61
Pm (0.0000, 0.2532, 0.5000)  1 Er 3.02, 1 Nd 3.10
Pm (0.2037, 0.0000, 0.1735)  4 Pm 3.38-3.62, 2 Nd 3.46, 3 Er 3.62-3.67
Pm (0.2445, 0.5000, 0.2952)  3 Er 3.01-3.36, 1 Nd 3.12
Nd (0.0000, 0.0000, 0.5000)  4 Pm 3.10-3.12
Nd (0.2500, 0.2500, 0.0000)  2 Er 3.44, 8 Pm 3.46-3.70
Er (0.0000, 0.5000, 0.0000)  2 Pm 3.01
Er (0.0000, 0.5000, 0.5000)  2 Pm 3.02
Er (0.2500, 0.2500, 0.5000)  8 Pm 3.36-3.67, 2 Nd 3.44

Values from the calculation:
calculated formation energy	0.34	eV/atom
calculated volume	34.26	Å³ per atom

***

Here is Pm3N2 after structural relaxation from Alexandria via LeMat-Bulk. Energies are from PBE.

Cell: 6.3144 10.8929 6.3741 Å, 90.00 109.65 90.00°
Last column: nearest neighbours and their distance in Å.
Space group C2/m (No. 12)
One atom of each set of equivalent atoms:
Pm (0.2302, 0.0000, 0.2424)  4 N 2.47-2.66
Pm (0.2468, 0.1584, 0.7693)  4 N 2.47-2.64
N (0.0000, 0.0000, 0.5000)  6 Pm 2.53-2.56
N (0.0000, 0.1620, 0.0000)  6 Pm 2.47-2.64
N (0.0000, 0.5000, 0.0000)  6 Pm 2.47-2.66

Values from the calculation:
ΔE_f (raw)	-1.13	eV/atom
calculated volume	20.64	Å³ per atom
distance to the lowest polymorph of the same formula	13	meV/atom

***

no.,VASP energy (eV for the cell shown)
1,-255.4
2,-131.0
3,-146.2